Here is a geometry-optimized K2ZrBe structure from the Alexandria database. Energies are from GGA-PBEsol.

The structure in POSCAR format:
```
K2ZrBe
1.0
1.690 -2.607 0.000
1.690 2.607 0.000
0.000 0.000 12.456
K Zr Be
2 1 1
Direct
0.000 0.000 0.226
0.000 0.000 0.774
0.500 0.500 0.500
0.500 0.500 0.000
```

## Properties
Crystal system: orthorhombic
ρ: 2.7 g cm⁻³
Formation energy from the elements: 1.1182 eV/atom
Spin magnetization: 0.000 μB per atom

---

Here is a geometry-optimized K2ZrBe structure from the Alexandria database. Energies are from GGA-PBEsol.

The structure in POSCAR format:
```
K2ZrBe
1.0
2.928 0.000 0.000
0.000 6.294 0.000
-0.070 0.000 5.693
K Zr Be
2 1 1
Direct
0.234 0.000 0.236
0.766 0.000 0.764
0.000 0.500 0.500
0.500 0.500 0.000
```

## Properties
Crystal system: monoclinic
ρ: 2.8 g cm⁻³
Formation energy from the elements: 1.1213 eV/atom
Spin magnetization: 0.001 μB per atom

---

Here is a geometry-optimized La2Be structure from the Alexandria database. Energies are from GGA-PBEsol.

The structure in POSCAR format:
```
La2Be
1.0
2.119 -5.618 0.000
2.119 5.618 0.000
0.000 0.000 6.661
La Be
4 2
Direct
0.027 0.973 0.500
0.288 0.712 0.308
0.712 0.288 0.808
0.973 0.027 0.000
0.395 0.605 0.739
0.605 0.395 0.239
```

## Properties
Crystal system: orthorhombic
ρ: 6.0 g cm⁻³
Distance to the lowest polymorph of the same formula: 0 meV per atom
Formation energy from the elements: 0.2236 eV/atom
Spin magnetization: 0.000 μB per atom

---

Here is a geometry-optimized La3Be2 structure from the Alexandria database. Energies are from GGA-PBEsol.

The structure in POSCAR format:
```
La3Be2
1.0
4.818 0.000 0.000
-2.409 4.173 0.000
0.000 0.000 6.133
La Be
3 2
Direct
0.000 0.000 0.000
0.333 0.667 0.382
0.667 0.333 0.618
0.333 0.667 0.883
0.667 0.333 0.117
```

## Properties
Crystal system: trigonal
ρ: 5.9 g cm⁻³
Formation energy from the elements: 0.2541 eV/atom
Spin magnetization: 0.000 μB per atom

---

Here is a geometry-optimized La3Be structure from the Alexandria database. Energies are from GGA-PBEsol.

The structure in POSCAR format:
```
La3Be
1.0
5.104 2.947 1.220
-5.104 2.947 1.220
0.000 -5.894 1.220
La Be
3 1
Direct
0.000 0.500 0.500
0.500 0.000 0.500
0.500 0.500 0.000
0.000 0.000 0.000
```

## Properties
Crystal system: trigonal
ρ: 6.4 g cm⁻³
Distance to the lowest polymorph of the same formula: 104 meV per atom
Formation energy from the elements: 0.3393 eV/atom
Spin magnetization: 0.000 μB per atom

---

Here is a geometry-optimized La3Be structure from the Alexandria database. Energies are from GGA-PBEsol.

The structure in POSCAR format:
```
La3Be
1.0
4.783 0.000 0.000
0.000 4.783 0.000
0.000 0.000 4.783
La Be
3 1
Direct
0.000 0.000 0.500
0.000 0.500 0.000
0.500 0.000 0.000
0.500 0.500 0.500
```

## Properties
Crystal system: cubic
ρ: 6.5 g cm⁻³
Distance to the lowest polymorph of the same formula: 0 meV per atom
Formation energy from the elements: 0.2357 eV/atom
Spin magnetization: 0.000 μB per atom

---

E: -2.721; -2.718; -4.674; -4.554; -4.670; -4.774 (eV/atom)